# 1
Here is crystalline ScAl at its relaxed geometry from Alexandria. Energies are from PBE.

Unit cell a=3.996 b=3.996 c=3.996 alpha=60.00 beta=60.00 gamma=60.00
Fractional positions:
Sc 0.000 0.000 0.000
Al 0.500 0.500 0.500

Values from the calculation:
As for the density of states at the Fermi level: 3.0 states/eV/cell.

# 2
Here is crystalline BePPt2 at its relaxed geometry from Alexandria. Energies are from PBE.

Unit cell a=4.126 b=4.126 c=4.512 alpha=99.59 beta=99.59 gamma=46.87
Fractional positions:
Be 0.000 0.000 0.000
P 0.500 0.500 0.500
Pt 0.242 0.242 0.754
Pt 0.758 0.758 0.246

Values from the calculation:
As for the density of states at the Fermi level: 1.1 states/eV/cell. The value obtained for the excess energy over the best structure of this formula in the dataset is 203.9 meV/atom.

Energy for the records above, in order: -4.909; -5.573 eV per atom
Energy of formation from the pure elements for the records above, in order: 128; -268 meV per atom